(1)
# Li15Ca2Ag2 PBE relaxed
# **Density of states at the Fermi level**: 0.51 states/eV/atom
# **Formation energy**: -0.03 eV/atom
# **Crystal system**: trigonal
# **VASP energy**: -2.051 eV/atom
data_Li15Ca2Ag2
_cell_length_a 9.8499
_cell_length_b 9.8499
_cell_length_c 14.2572
_cell_angle_alpha 90.00
_cell_angle_beta 90.00
_cell_angle_gamma 120.00
_symmetry_space_group_name_H-M 'R -3 m'
_symmetry_Int_Tables_number 166
_symmetry_space_group_name_Hall '-R 3 2"'
loop_
_atom_site_label
_atom_site_type_symbol
_atom_site_fract_x
_atom_site_fract_y
_atom_site_fract_z
_atom_site_occupancy
Li1 Li 0.0000 0.2706 0.0000 1
Li2 Li 0.0000 0.5000 0.5000 1
Li3 Li 0.0086 0.5043 0.8571 1
Ca1 Ca 0.0000 0.0000 0.3358 1
Ag1 Ag 0.0000 0.0000 0.1043 1



(2)
# Li2CaAg2 PBE relaxed
# **Density of states at the Fermi level**: 0.53 states/eV/atom
# **Formation energy**: -0.21 eV/atom
# **Crystal system**: tetragonal
# **Polymorph energy (0 for the lowest one)**: 6 meV/atom
# **VASP energy**: -2.517 eV/atom
data_Li2CaAg2
_cell_length_a 4.1277
_cell_length_b 4.1277
_cell_length_c 12.7934
_cell_angle_alpha 90.00
_cell_angle_beta 90.00
_cell_angle_gamma 90.00
_symmetry_space_group_name_H-M 'I 4/m m m'
_symmetry_Int_Tables_number 139
_symmetry_space_group_name_Hall '-I 4 2'
loop_
_atom_site_label
_atom_site_type_symbol
_atom_site_fract_x
_atom_site_fract_y
_atom_site_fract_z
_atom_site_occupancy
Li1 Li 0.0000 0.5000 0.2500 1
Ca1 Ca 0.0000 0.0000 0.0000 1
Ag1 Ag 0.0000 0.0000 0.3912 1



(3)
# Li2CaAg PBE relaxed
# **Density of states at the Fermi level**: 0.49 states/eV/atom
# **Formation energy**: -0.13 eV/atom
# **Crystal system**: monoclinic
# **Polymorph energy (0 for the lowest one)**: 46 meV/atom
# **VASP energy**: -2.297 eV/atom
data_Li2CaAg
_cell_length_a 10.8832
_cell_length_b 3.7082
_cell_length_c 5.0096
_cell_angle_alpha 90.00
_cell_angle_beta 114.77
_cell_angle_gamma 90.00
_symmetry_space_group_name_H-M 'C 1 2/m 1'
_symmetry_Int_Tables_number 12
_symmetry_space_group_name_Hall '-C 2y'
loop_
_atom_site_label
_atom_site_type_symbol
_atom_site_fract_x
_atom_site_fract_y
_atom_site_fract_z
_atom_site_occupancy
Li1 Li 0.2163 0.0000 0.2068 1
Ca1 Ca 0.0000 0.0000 0.5000 1
Ag1 Ag 0.0000 0.5000 0.0000 1



(4)
# LiCa3Ag PBE relaxed
# **Density of states at the Fermi level**: 0.68 states/eV/atom
# **Formation energy**: 0.01 eV/atom
# **Crystal system**: cubic
# **Polymorph energy (0 for the lowest one)**: 138 meV/atom
# **VASP energy**: -2.140 eV/atom
data_LiCa3Ag
_cell_length_a 5.8113
_cell_length_b 5.8113
_cell_length_c 5.8113
_cell_angle_alpha 90.00
_cell_angle_beta 90.00
_cell_angle_gamma 90.00
_symmetry_space_group_name_H-M 'P m -3 m'
_symmetry_Int_Tables_number 221
_symmetry_space_group_name_Hall '-P 4 2 3'
loop_
_atom_site_label
_atom_site_type_symbol
_atom_site_fract_x
_atom_site_fract_y
_atom_site_fract_z
_atom_site_occupancy
Li1 Li 0.0000 0.0000 0.0000 1
Ca1 Ca 0.0000 0.5000 0.5000 1
Ag1 Ag 0.5000 0.5000 0.5000 1



(5)
# LiCa2Ag PBE relaxed
# **Density of states at the Fermi level**: 0.72 states/eV/atom
# **Formation energy**: -0.02 eV/atom
# **Crystal system**: trigonal
# **Polymorph energy (0 for the lowest one)**: 155 meV/atom
# **VASP energy**: -2.208 eV/atom
data_LiCa2Ag
_cell_length_a 4.0903
_cell_length_b 4.0903
_cell_length_c 26.9728
_cell_angle_alpha 90.00
_cell_angle_beta 90.00
_cell_angle_gamma 120.00
_symmetry_space_group_name_H-M 'R -3 m'
_symmetry_Int_Tables_number 166
_symmetry_space_group_name_Hall '-R 3 2"'
loop_
_atom_site_label
_atom_site_type_symbol
_atom_site_fract_x
_atom_site_fract_y
_atom_site_fract_z
_atom_site_occupancy
Li1 Li 0.0000 0.0000 0.0000 1
Ca1 Ca 0.0000 0.0000 0.2367 1
Ag1 Ag 0.0000 0.0000 0.5000 1



(6)
# Li2CaAg10 PBE relaxed
# **Density of states at the Fermi level**: 0.31 states/eV/atom
# **Formation energy**: -0.10 eV/atom
# **Crystal system**: orthorhombic
# **VASP energy**: -2.747 eV/atom
data_Li2CaAg10
_cell_length_a 5.3542
_cell_length_b 13.4980
_cell_length_c 13.5510
_cell_angle_alpha 90.00
_cell_angle_beta 90.00
_cell_angle_gamma 90.00
_symmetry_space_group_name_H-M 'F m m m'
_symmetry_Int_Tables_number 69
_symmetry_space_group_name_Hall '-F 2 2'
loop_
_atom_site_label
_atom_site_type_symbol
_atom_site_fract_x
_atom_site_fract_y
_atom_site_fract_z
_atom_site_occupancy
Li1 Li 0.2500 0.0000 0.2500 1
Ca1 Ca 0.0000 0.0000 0.0000 1
Ag1 Ag 0.0000 0.1049 0.3859 1
Ag2 Ag 0.0000 0.1724 0.1786 1
Ag3 Ag 0.2500 0.2500 0.0000 1



(7)
# Li3Ca2Ag3 PBE relaxed
# **Density of states at the Fermi level**: 0.53 states/eV/atom
# **Formation energy**: -0.12 eV/atom
# **Crystal system**: hexagonal
# **VASP energy**: -2.408 eV/atom
data_Li3Ca2Ag3
_cell_length_a 7.9567
_cell_length_b 7.9567
_cell_length_c 3.3112
_cell_angle_alpha 90.00
_cell_angle_beta 90.00
_cell_angle_gamma 120.00
_symmetry_space_group_name_H-M 'P -6 2 m'
_symmetry_Int_Tables_number 189
_symmetry_space_group_name_Hall 'P -6 -2'
loop_
_atom_site_label
_atom_site_type_symbol
_atom_site_fract_x
_atom_site_fract_y
_atom_site_fract_z
_atom_site_occupancy
Li1 Li 0.0000 0.2136 0.0000 1
Ca1 Ca 0.3333 0.6667 0.0000 1
Ag1 Ag 0.0000 0.6715 0.5000 1



(8)
# LiCa2Ag PBE relaxed
# **Density of states at the Fermi level**: 0.52 states/eV/atom
# **Formation energy**: 0.06 eV/atom
# **Crystal system**: tetragonal
# **Polymorph energy (0 for the lowest one)**: 231 meV/atom
# **VASP energy**: -2.133 eV/atom
data_LiCa2Ag
_cell_length_a 8.3778
_cell_length_b 8.3778
_cell_length_c 6.9044
_cell_angle_alpha 90.00
_cell_angle_beta 90.00
_cell_angle_gamma 90.00
_symmetry_space_group_name_H-M 'I -4 2 d'
_symmetry_Int_Tables_number 122
_symmetry_space_group_name_Hall 'I -4 2bw'
loop_
_atom_site_label
_atom_site_type_symbol
_atom_site_fract_x
_atom_site_fract_y
_atom_site_fract_z
_atom_site_occupancy
Li1 Li 0.0000 0.0000 0.0000 1
Ca1 Ca 0.2278 0.2500 0.6250 1
Ag1 Ag 0.0000 0.0000 0.5000 1



(9)
# LiCaAg6 PBE relaxed
# **Density of states at the Fermi level**: 0.23 states/eV/atom
# **Formation energy**: -0.15 eV/atom
# **Crystal system**: orthorhombic
# **Polymorph energy (0 for the lowest one)**: 0 meV/atom
# **VASP energy**: -2.781 eV/atom
data_LiCaAg6
_cell_length_a 4.8257
_cell_length_b 6.3642
_cell_length_c 5.0147
_cell_angle_alpha 90.00
_cell_angle_beta 90.00
_cell_angle_gamma 90.00
_symmetry_space_group_name_H-M 'P m m 2'
_symmetry_Int_Tables_number 25
_symmetry_space_group_name_Hall 'P 2 -2'
loop_
_atom_site_label
_atom_site_type_symbol
_atom_site_fract_x
_atom_site_fract_y
_atom_site_fract_z
_atom_site_occupancy
Li1 Li 0.0000 0.0000 0.0000 1
Ca1 Ca 0.5000 0.5000 0.6405 1
Ag1 Ag 0.0000 0.2244 0.5064 1
Ag2 Ag 0.0000 0.5000 0.0505 1
Ag3 Ag 0.5000 0.0000 0.6487 1
Ag4 Ag 0.5000 0.2280 0.1425 1



(10)
# LiCa6Ag PBE relaxed
# **Density of states at the Fermi level**: 1.04 states/eV/atom
# **Formation energy**: -0.07 eV/atom
# **Crystal system**: tetragonal
# **VASP energy**: -2.168 eV/atom
data_LiCa6Ag
_cell_length_a 5.4020
_cell_length_b 5.4020
_cell_length_c 18.9865
_cell_angle_alpha 90.00
_cell_angle_beta 90.00
_cell_angle_gamma 90.00
_symmetry_space_group_name_H-M 'I 4/m m m'
_symmetry_Int_Tables_number 139
_symmetry_space_group_name_Hall '-I 4 2'
loop_
_atom_site_label
_atom_site_type_symbol
_atom_site_fract_x
_atom_site_fract_y
_atom_site_fract_z
_atom_site_occupancy
Li1 Li 0.0000 0.0000 0.0000 1
Ca1 Ca 0.0000 0.0000 0.2484 1
Ca2 Ca 0.0000 0.5000 0.0994 1
Ag1 Ag 0.0000 0.0000 0.5000 1



(11)
# LiCa4Ag2 PBE relaxed
# **Density of states at the Fermi level**: 0.73 states/eV/atom
# **Formation energy**: -0.13 eV/atom
# **Crystal system**: trigonal
# **Polymorph energy (0 for the lowest one)**: 43 meV/atom
# **VASP energy**: -2.357 eV/atom
data_LiCa4Ag2
_cell_length_a 5.2070
_cell_length_b 5.2070
_cell_length_c 28.0098
_cell_angle_alpha 90.00
_cell_angle_beta 90.00
_cell_angle_gamma 120.00
_symmetry_space_group_name_H-M 'R -3 m'
_symmetry_Int_Tables_number 166
_symmetry_space_group_name_Hall '-R 3 2"'
loop_
_atom_site_label
_atom_site_type_symbol
_atom_site_fract_x
_atom_site_fract_y
_atom_site_fract_z
_atom_site_occupancy
Li1 Li 0.0000 0.0000 0.0000 1
Ca1 Ca 0.0000 0.0000 0.2066 1
Ca2 Ca 0.0000 0.0000 0.3812 1
Ag1 Ag 0.0000 0.0000 0.0928 1



(12)
# LiCa2Ag PBE relaxed
# **Density of states at the Fermi level**: 0.62 states/eV/atom
# **Formation energy**: -0.17 eV/atom
# **Crystal system**: monoclinic
# **Polymorph energy (0 for the lowest one)**: 0 meV/atom
# **VASP energy**: -2.363 eV/atom
data_LiCa2Ag
_cell_length_a 4.3519
_cell_length_b 4.4750
_cell_length_c 6.2545
_cell_angle_alpha 90.00
_cell_angle_beta 110.18
_cell_angle_gamma 90.00
_symmetry_space_group_name_H-M 'P 1 m 1'
_symmetry_Int_Tables_number 6
_symmetry_space_group_name_Hall 'P -2y'
loop_
_atom_site_label
_atom_site_type_symbol
_atom_site_fract_x
_atom_site_fract_y
_atom_site_fract_z
_atom_site_occupancy
Li1 Li 0.0000 0.0000 0.0000 1
Ca1 Ca 0.4155 0.5000 0.8304 1
Ca2 Ca 0.7057 0.0000 0.4124 1
Ag1 Ag 0.1308 0.5000 0.2609 1



(13)
# Li2Ca2Ag3 PBE relaxed
# **Density of states at the Fermi level**: 0.54 states/eV/atom
# **Formation energy**: -0.20 eV/atom
# **Crystal system**: orthorhombic
# **Polymorph energy (0 for the lowest one)**: 18 meV/atom
# **VASP energy**: -2.539 eV/atom
data_Li2Ca2Ag3
_cell_length_a 3.7615
_cell_length_b 23.9567
_cell_length_c 3.3694
_cell_angle_alpha 90.00
_cell_angle_beta 90.00
_cell_angle_gamma 90.00
_symmetry_space_group_name_H-M 'C m m m'
_symmetry_Int_Tables_number 65
_symmetry_space_group_name_Hall '-C 2 2'
loop_
_atom_site_label
_atom_site_type_symbol
_atom_site_fract_x
_atom_site_fract_y
_atom_site_fract_z
_atom_site_occupancy
Li1 Li 0.0000 0.2139 0.0000 1
Ca1 Ca 0.0000 0.0822 0.0000 1
Ag1 Ag 0.0000 0.3307 0.5000 1
Ag2 Ag 0.0000 0.5000 0.5000 1



(14)
# LiCa3Ag PBE relaxed
# **Density of states at the Fermi level**: 0.61 states/eV/atom
# **Formation energy**: -0.02 eV/atom
# **Crystal system**: orthorhombic
# **Polymorph energy (0 for the lowest one)**: 108 meV/atom
# **VASP energy**: -2.170 eV/atom
data_LiCa3Ag
_cell_length_a 10.8947
_cell_length_b 16.1184
_cell_length_c 4.0460
_cell_angle_alpha 90.00
_cell_angle_beta 90.00
_cell_angle_gamma 90.00
_symmetry_space_group_name_H-M 'C m m m'
_symmetry_Int_Tables_number 65
_symmetry_space_group_name_Hall '-C 2 2'
loop_
_atom_site_label
_atom_site_type_symbol
_atom_site_fract_x
_atom_site_fract_y
_atom_site_fract_z
_atom_site_occupancy
Li1 Li 0.0000 0.0000 0.0000 1
Li2 Li 0.0000 0.5000 0.5000 1
Ca1 Ca 0.0000 0.1811 0.5000 1
Ca2 Ca 0.1878 0.3808 0.0000 1
Ag1 Ag 0.2500 0.2500 0.5000 1



(15)
# LiCa12Ag6 PBE relaxed
# **Density of states at the Fermi level**: 0.73 states/eV/atom
# **Formation energy**: -0.07 eV/atom
# **Crystal system**: trigonal
# **Polymorph energy (0 for the lowest one)**: 112 meV/atom
# **VASP energy**: -2.336 eV/atom
data_LiCa12Ag6
_cell_length_a 13.7040
_cell_length_b 13.7040
_cell_length_c 12.0838
_cell_angle_alpha 90.00
_cell_angle_beta 90.00
_cell_angle_gamma 120.00
_symmetry_space_group_name_H-M 'R -3'
_symmetry_Int_Tables_number 148
_symmetry_space_group_name_Hall '-R 3'
loop_
_atom_site_label
_atom_site_type_symbol
_atom_site_fract_x
_atom_site_fract_y
_atom_site_fract_z
_atom_site_occupancy
Li1 Li 0.0000 0.0000 0.0000 1
Ca1 Ca 0.0314 0.2065 0.3823 1
Ca2 Ca 0.0419 0.2112 0.8831 1
Ag1 Ag 0.0461 0.2669 0.6417 1



(16)
# LiCa4Ag2 PBE relaxed
# **Density of states at the Fermi level**: 0.68 states/eV/atom
# **Formation energy**: -0.17 eV/atom
# **Crystal system**: monoclinic
# **Polymorph energy (0 for the lowest one)**: 0 meV/atom
# **VASP energy**: -2.399 eV/atom
data_LiCa4Ag2
_cell_length_a 9.1543
_cell_length_b 16.0765
_cell_length_c 7.2989
_cell_angle_alpha 90.00
_cell_angle_beta 127.72
_cell_angle_gamma 90.00
_symmetry_space_group_name_H-M 'C 1 c 1'
_symmetry_Int_Tables_number 9
_symmetry_space_group_name_Hall 'C -2yc'
loop_
_atom_site_label
_atom_site_type_symbol
_atom_site_fract_x
_atom_site_fract_y
_atom_site_fract_z
_atom_site_occupancy
Li1 Li 0.0000 0.1072 0.0000 1
Ca1 Ca 0.1078 0.2718 0.3091 1
Ca2 Ca 0.1637 0.4856 0.9346 1
Ca3 Ca 0.1934 0.0727 0.6869 1
Ca4 Ca 0.4537 0.2257 0.1776 1
Ag1 Ag 0.3180 0.3563 0.7733 1
Ag2 Ag 0.3528 0.1013 0.4178 1



(17)
# Li2CaAg9 PBE relaxed
# **Density of states at the Fermi level**: 0.33 states/eV/atom
# **Formation energy**: -0.10 eV/atom
# **Crystal system**: tetragonal
# **Polymorph energy (0 for the lowest one)**: 3 meV/atom
# **VASP energy**: -2.728 eV/atom
data_Li2CaAg9
_cell_length_a 9.3849
_cell_length_b 9.3849
_cell_length_c 5.5155
_cell_angle_alpha 90.00
_cell_angle_beta 90.00
_cell_angle_gamma 90.00
_symmetry_space_group_name_H-M 'P 4/m b m'
_symmetry_Int_Tables_number 127
_symmetry_space_group_name_Hall '-P 4 2ab'
loop_
_atom_site_label
_atom_site_type_symbol
_atom_site_fract_x
_atom_site_fract_y
_atom_site_fract_z
_atom_site_occupancy
Li1 Li 0.1163 0.3837 0.0000 1
Ca1 Ca 0.0000 0.0000 0.0000 1
Ag1 Ag 0.0000 0.5000 0.5000 1
Ag2 Ag 0.0600 0.2050 0.5000 1
Ag3 Ag 0.1810 0.6810 0.2387 1



(18)
# Li2CaAg2 PBE relaxed
# **Density of states at the Fermi level**: 0.41 states/eV/atom
# **Formation energy**: -0.16 eV/atom
# **Crystal system**: tetragonal
# **Polymorph energy (0 for the lowest one)**: 56 meV/atom
# **VASP energy**: -2.466 eV/atom
data_Li2CaAg2
_cell_length_a 4.7479
_cell_length_b 4.7479
_cell_length_c 9.4735
_cell_angle_alpha 90.00
_cell_angle_beta 90.00
_cell_angle_gamma 90.00
_symmetry_space_group_name_H-M 'I 4/m m m'
_symmetry_Int_Tables_number 139
_symmetry_space_group_name_Hall '-I 4 2'
loop_
_atom_site_label
_atom_site_type_symbol
_atom_site_fract_x
_atom_site_fract_y
_atom_site_fract_z
_atom_site_occupancy
Li1 Li 0.0000 0.0000 0.1385 1
Ca1 Ca 0.0000 0.0000 0.5000 1
Ag1 Ag 0.0000 0.5000 0.2500 1



(19)
# LiCaAg4 PBE relaxed
# **Density of states at the Fermi level**: 0.52 states/eV/atom
# **Formation energy**: -0.20 eV/atom
# **Crystal system**: cubic
# **VASP energy**: -2.752 eV/atom
data_LiCaAg4
_cell_length_a 7.9716
_cell_length_b 7.9716
_cell_length_c 7.9716
_cell_angle_alpha 90.00
_cell_angle_beta 90.00
_cell_angle_gamma 90.00
_symmetry_space_group_name_H-M 'F -4 3 m'
_symmetry_Int_Tables_number 216
_symmetry_space_group_name_Hall 'F -4 2 3'
loop_
_atom_site_label
_atom_site_type_symbol
_atom_site_fract_x
_atom_site_fract_y
_atom_site_fract_z
_atom_site_occupancy
Li1 Li 0.0000 0.0000 0.0000 1
Ca1 Ca 0.2500 0.2500 0.7500 1
Ag1 Ag 0.1254 0.1254 0.3746 1



(20)
# LiCa2Ag PBE relaxed
# **Density of states at the Fermi level**: 0.56 states/eV/atom
# **Formation energy**: -0.06 eV/atom
# **Crystal system**: tetragonal
# **Polymorph energy (0 for the lowest one)**: 106 meV/atom
# **VASP energy**: -2.257 eV/atom
data_LiCa2Ag
_cell_length_a 4.5650
_cell_length_b 4.5650
_cell_length_c 10.5548
_cell_angle_alpha 90.00
_cell_angle_beta 90.00
_cell_angle_gamma 90.00
_symmetry_space_group_name_H-M 'I -4 m 2'
_symmetry_Int_Tables_number 119
_symmetry_space_group_name_Hall 'I -4 -2'
loop_
_atom_site_label
_atom_site_type_symbol
_atom_site_fract_x
_atom_site_fract_y
_atom_site_fract_z
_atom_site_occupancy
Li1 Li 0.0000 0.0000 0.0000 1
Ca1 Ca 0.0000 0.0000 0.5000 1
Ca2 Ca 0.0000 0.5000 0.2500 1
Ag1 Ag 0.0000 0.5000 0.7500 1